Record 1
BiBSe2: optimized geometry, PBE.

a = 6.5691 Å, b = 6.5691 Å, c = 6.5691 Å
α = 46.60°, β = 46.60°, γ = 46.60°
Last column: nearest neighbours and their distance in Å.
Fractional coordinates of all 4 atoms:
Bi1 0.0000 0.0000 0.0000  6 Se 3.19
B1 0.5000 0.5000 0.5000  2 Se 1.83
Se1 0.3955 0.3955 0.3955  1 B 1.83
Se2 0.6045 0.6045 0.6045  1 B 1.83

Calculated values
As for the electronic total energy: -3.970 eV/atom. The energy above the most stable polymorph in this dataset is 526 meV per atom.

Record 2
BiBSe2: optimized geometry, PBE.

a = 6.3429 Å, b = 6.6672 Å, c = 7.6343 Å
α = 112.19°, β = 109.35°, γ = 94.17°
Last column: nearest neighbours and their distance in Å.
Fractional coordinates of all 8 atoms:
Bi1 0.0541 0.1085 0.3681  2 Se 2.72-2.73
Bi2 0.9459 0.8915 0.6319  2 Se 2.72-2.73
B1 0.4799 0.1212 0.0738  1 B 1.68
B2 0.5201 0.8788 0.9262  1 B 1.68
Se1 0.2199 0.2499 0.9871  1 B 1.95
Se2 0.3085 0.6972 0.6401  1 B 1.96
Se3 0.6915 0.3028 0.3599  1 B 1.96
Se4 0.7801 0.7501 0.0129  1 B 1.95

Calculated values
As for the electronic total energy: -4.493 eV/atom. The energy above the most stable polymorph in this dataset is 3 meV per atom.

Record 3
BiBSe2: optimized geometry, PBE.

a = 6.4142 Å, b = 6.4142 Å, c = 6.4142 Å
α = 121.04°, β = 121.04°, γ = 88.21°
Last column: nearest neighbours and their distance in Å.
Fractional coordinates of all 8 atoms:
Bi1 0.0000 0.0000 0.0000  4 Se 3.01
Bi2 0.7500 0.2500 0.5000  4 Se 3.01
B1 0.2500 0.7500 0.5000  4 Se 2.14
B2 0.5000 0.5000 0.0000  4 Se 2.14
Se1 0.2378 0.6250 0.1128  2 B 2.14
Se2 0.3750 0.4878 0.6128  2 B 2.14
Se3 0.5122 0.1250 0.8872  2 B 2.14
Se4 0.8750 0.7622 0.3872  2 B 2.14

Calculated values
As for the electronic total energy: -4.090 eV/atom. The energy above the most stable polymorph in this dataset is 406 meV per atom.

Record 4
BiB3Se: optimized geometry, PBE.

a = 4.7341 Å, b = 4.7341 Å, c = 4.7341 Å
α = 90.00°, β = 90.00°, γ = 90.00°
Last column: nearest neighbours and their distance in Å.
Fractional coordinates of all 5 atoms:
Bi1 0.0000 0.0000 0.0000  6 B 2.37
B1 0.0000 0.0000 0.5000  2 Bi 2.37
B2 0.0000 0.5000 0.0000  2 Bi 2.37
B3 0.5000 0.0000 0.0000  2 Bi 2.37
Se1 0.5000 0.5000 0.5000  12 B 3.35

Calculated values
As for the electronic total energy: -3.094 eV/atom. The energy above the most stable polymorph in this dataset is 605 meV per atom.